# Li2SiNi (GGA-PBE, relaxed)
data_Li2SiNi
_space_group_name_H-M_alt 'P 4 m m'
_space_group_IT_number 99
_space_group_name_Hall 'P 4 -2'
_cell_length_a 2.924
_cell_length_b 2.924
_cell_length_c 6.371
_cell_angle_alpha 90.00
_cell_angle_beta 90.00
_cell_angle_gamma 90.00
loop_
_atom_site_label
_atom_site_type_symbol
_atom_site_fract_x
_atom_site_fract_y
_atom_site_fract_z
Li1 Li 0.000 0.000 0.000
Li2 Li 0.500 0.500 0.315
Si1 Si 0.500 0.500 0.740
Ni1 Ni 0.000 0.000 0.569
# **Density of states at the Fermi level**: 1.1 states/eV per cell
# **Total DFT energy (no corrections)**: -16.07 eV/cell
# **V**: 54.5 Å³ per cell
# **Formation energy (no corrections)**: -0.259 eV per atom

# Li2SiNi (GGA-PBE, relaxed)
data_Li2SiNi
_space_group_name_H-M_alt 'P 1 2/m 1'
_space_group_IT_number 10
_space_group_name_Hall '-P 2y'
_cell_length_a 2.620
_cell_length_b 4.342
_cell_length_c 4.337
_cell_angle_alpha 90.00
_cell_angle_beta 100.62
_cell_angle_gamma 90.00
loop_
_atom_site_label
_atom_site_type_symbol
_atom_site_fract_x
_atom_site_fract_y
_atom_site_fract_z
Li1 Li 0.236 0.000 0.253
Si1 Si 0.500 0.500 0.000
Ni1 Ni 0.000 0.500 0.500
# **Density of states at the Fermi level**: 1.5 states/eV per cell
# **Total DFT energy (no corrections)**: -15.84 eV/cell
# **V**: 48.5 Å³ per cell
# **Formation energy (no corrections)**: -0.202 eV per atom

# LiSiNi3 (GGA-PBE, relaxed)
data_LiSiNi3
_space_group_name_H-M_alt 'P m -3 m'
_space_group_IT_number 221
_space_group_name_Hall '-P 4 2 3'
_cell_length_a 4.238
_cell_length_b 4.238
_cell_length_c 4.238
_cell_angle_alpha 90.00
_cell_angle_beta 90.00
_cell_angle_gamma 90.00
loop_
_atom_site_label
_atom_site_type_symbol
_atom_site_fract_x
_atom_site_fract_y
_atom_site_fract_z
Li1 Li 0.000 0.000 0.000
Si1 Si 0.500 0.500 0.500
Ni1 Ni 0.000 0.500 0.500
# **Density of states at the Fermi level**: 7.2 states/eV per cell
# **Total DFT energy (no corrections)**: -23.64 eV/cell
# **Relative energy among the computed polymorphs**: 0.594 eV/atom
# **V**: 76.1 Å³ per cell
# **Formation energy (no corrections)**: 0.208 eV per atom

# Li2Si3Ni2 (GGA-PBE, relaxed)
data_Li2Si3Ni2
_space_group_name_H-M_alt 'C 1 2/m 1'
_space_group_IT_number 12
_space_group_name_Hall '-C 2y'
_cell_length_a 8.904
_cell_length_b 3.750
_cell_length_c 6.245
_cell_angle_alpha 90.00
_cell_angle_beta 116.22
_cell_angle_gamma 90.00
loop_
_atom_site_label
_atom_site_type_symbol
_atom_site_fract_x
_atom_site_fract_y
_atom_site_fract_z
Li1 Li 0.160 0.000 0.292
Si1 Si 0.000 0.500 0.500
Si2 Si 0.128 0.500 0.956
Ni1 Ni 0.118 0.000 0.714
# **Density of states at the Fermi level**: 2.8 states/eV per cell
# **Total DFT energy (no corrections)**: -69.00 eV/cell
# **V**: 187.1 Å³ per cell
# **Formation energy (no corrections)**: -0.406 eV per atom

# LiSi3Ni5 (GGA-PBE, relaxed)
data_LiSi3Ni5
_space_group_name_H-M_alt 'P 63/m c m'
_space_group_IT_number 193
_space_group_name_Hall '-P 6c 2'
_cell_length_a 6.8443
_cell_length_b 6.8443
_cell_length_c 4.9513
_cell_angle_alpha 90.00
_cell_angle_beta 90.00
_cell_angle_gamma 120.00
loop_
_atom_site_label
_atom_site_type_symbol
_atom_site_fract_x
_atom_site_fract_y
_atom_site_fract_z
Li1 Li 0.0000 0.0000 0.0000
Si1 Si 0.0000 0.3540 0.2500
Ni1 Ni 0.0000 0.3164 0.7500
Ni2 Ni 0.3333 0.6667 0.0000
# **Density of states at the Fermi level**: 6.6 states/eV per cell
# **Total DFT energy (no corrections)**: -102.67 eV/cell
# **V**: 200.9 Å³ per cell
# **Formation energy (no corrections)**: -0.472 eV per atom

# Li3SiNi (GGA-PBE, relaxed)
data_Li3SiNi
_space_group_name_H-M_alt 'P m -3 m'
_space_group_IT_number 221
_space_group_name_Hall '-P 4 2 3'
_cell_length_a 4.616
_cell_length_b 4.616
_cell_length_c 4.616
_cell_angle_alpha 90.00
_cell_angle_beta 90.00
_cell_angle_gamma 90.00
loop_
_atom_site_label
_atom_site_type_symbol
_atom_site_fract_x
_atom_site_fract_y
_atom_site_fract_z
Li1 Li 0.000 0.000 0.500
Si1 Si 0.000 0.000 0.000
Ni1 Ni 0.500 0.500 0.500
# **Density of states at the Fermi level**: 3.6 states/eV per cell
# **Total DFT energy (no corrections)**: -13.73 eV/cell
# **Relative energy among the computed polymorphs**: 0.142 eV/atom
# **V**: 98.3 Å³ per cell
# **Formation energy (no corrections)**: 0.642 eV per atom

# LiSiNi6 (GGA-PBE, relaxed)
data_LiSiNi6
_space_group_name_H-M_alt 'R -3 m'
_space_group_IT_number 166
_space_group_name_Hall '-R 3 2"'
_cell_length_a 6.1260
_cell_length_b 6.1260
_cell_length_c 9.7332
_cell_angle_alpha 90.00
_cell_angle_beta 90.00
_cell_angle_gamma 120.00
loop_
_atom_site_label
_atom_site_type_symbol
_atom_site_fract_x
_atom_site_fract_y
_atom_site_fract_z
Li1 Li 0.0000 0.0000 0.0000
Si1 Si 0.0000 0.0000 0.5000
Ni1 Ni 0.0774 0.5387 0.8909
# **Density of states at the Fermi level**: 40.4 states/eV per cell
# **Total DFT energy (no corrections)**: -120.73 eV/cell
# **Relative energy among the computed polymorphs**: 0.440 eV/atom
# **V**: 316.3 Å³ per cell
# **Formation energy (no corrections)**: 0.223 eV per atom

# Li2SiNi (GGA-PBE, relaxed)
data_Li2SiNi
_space_group_name_H-M_alt 'C 1 2/m 1'
_space_group_IT_number 12
_space_group_name_Hall '-C 2y'
_cell_length_a 4.634
_cell_length_b 8.743
_cell_length_c 2.617
_cell_angle_alpha 90.00
_cell_angle_beta 113.61
_cell_angle_gamma 90.00
loop_
_atom_site_label
_atom_site_type_symbol
_atom_site_fract_x
_atom_site_fract_y
_atom_site_fract_z
Li1 Li 0.250 0.250 0.000
Si1 Si 0.000 0.000 0.500
Ni1 Ni 0.000 0.500 0.500
# **Density of states at the Fermi level**: 2.8 states/eV per cell
# **Total DFT energy (no corrections)**: -31.66 eV/cell
# **V**: 97.2 Å³ per cell
# **Formation energy (no corrections)**: -0.199 eV per atom

# Li4SiNi (GGA-PBE, relaxed)
data_Li4SiNi
_space_group_name_H-M_alt 'F -4 3 m'
_space_group_IT_number 216
_space_group_name_Hall 'F -4 2 3'
_cell_length_a 6.610
_cell_length_b 6.610
_cell_length_c 6.610
_cell_angle_alpha 90.00
_cell_angle_beta 90.00
_cell_angle_gamma 90.00
loop_
_atom_site_label
_atom_site_type_symbol
_atom_site_fract_x
_atom_site_fract_y
_atom_site_fract_z
Li1 Li 0.125 0.125 0.125
Si1 Si 0.000 0.000 0.500
Ni1 Ni 0.250 0.250 0.750
# **Density of states at the Fermi level**: 5.4 states/eV per cell
# **Total DFT energy (no corrections)**: -73.50 eV/cell
# **V**: 288.9 Å³ per cell
# **Formation energy (no corrections)**: 0.081 eV per atom

# LiSiNi6 (GGA-PBE, relaxed)
data_LiSiNi6
_space_group_name_H-M_alt 'C m m m'
_space_group_IT_number 65
_space_group_name_Hall '-C 2 2'
_cell_length_a 7.026
_cell_length_b 9.926
_cell_length_c 9.943
_cell_angle_alpha 90.00
_cell_angle_beta 90.00
_cell_angle_gamma 90.00
loop_
_atom_site_label
_atom_site_type_symbol
_atom_site_fract_x
_atom_site_fract_y
_atom_site_fract_z
Li1 Li 0.000 0.000 0.250
Li2 Li 0.000 0.247 0.000
Si1 Si 0.000 0.241 0.500
Si2 Si 0.000 0.500 0.246
Ni1 Ni 0.000 0.000 0.000
Ni2 Ni 0.000 0.000 0.500
Ni3 Ni 0.000 0.251 0.253
Ni4 Ni 0.000 0.500 0.000
Ni5 Ni 0.000 0.500 0.500
Ni6 Ni 0.244 0.374 0.377
Ni7 Ni 0.246 0.376 0.126
# **Density of states at the Fermi level**: 58.8 states/eV per cell
# **Total DFT energy (no corrections)**: -350.12 eV/cell
# **Relative energy among the computed polymorphs**: 0.000 eV/atom
# **V**: 693.4 Å³ per cell
# **Formation energy (no corrections)**: -0.217 eV per atom

# Li2SiNi (GGA-PBE, relaxed)
data_Li2SiNi
_space_group_name_H-M_alt 'C m m m'
_space_group_IT_number 65
_space_group_name_Hall '-C 2 2'
_cell_length_a 2.971
_cell_length_b 4.121
_cell_length_c 8.354
_cell_angle_alpha 90.00
_cell_angle_beta 90.00
_cell_angle_gamma 90.00
loop_
_atom_site_label
_atom_site_type_symbol
_atom_site_fract_x
_atom_site_fract_y
_atom_site_fract_z
Li1 Li 0.000 0.000 0.242
Si1 Si 0.000 0.500 0.500
Ni1 Ni 0.000 0.500 0.000
# **Density of states at the Fermi level**: 3.6 states/eV per cell
# **Total DFT energy (no corrections)**: -30.01 eV/cell
# **V**: 102.3 Å³ per cell
# **Formation energy (no corrections)**: 0.007 eV per atom

Q: The highest density of states at the Fermi level belongs to which entry?
A: number 10

Q: Look up the density of states at the Fermi level of the tenth one.
A: 58.8 states/eV per cell